{
  "formula": "LaZnCr3",
  "functional": "GGA-PBE",
  "state": "relaxed",
  "magmom_total_mub_per_fu": 0.0,
  "spacegroup": "Pm-3m, No. 221",
  "total_energy_ev_per_cell": -24.798,
  "formation_enthalpy_0k_mev_per_atom": 2054.7,
  "cell": [[4.478, 0.000, 0.000], [0.000, 4.478, 0.000], [0.000, 0.000, 4.478]],
  "species": ["La", "Zn", "Cr", "Cr", "Cr"],
  "frac_coords": [[0.000, 0.000, 0.000], [0.500, 0.500, 0.500], [0.000, 0.000, 0.500], [0.000, 0.500, 0.000], [0.500, 0.000, 0.000]]
}